Record 1
CdGePbBr6: optimized geometry, PBE-GGA.

Unit cell a=7.180 b=7.180 c=13.336 alpha=90.00 beta=90.00 gamma=120.00
Fractional positions:
Br1 0.999 0.354 0.130
Br2 0.001 0.646 0.870
Br3 0.645 0.646 0.630
Br4 0.354 0.999 0.630
Br5 0.646 0.645 0.130
Br6 0.999 0.645 0.370
Br7 0.645 0.999 0.870
Br8 0.355 0.354 0.370
Br9 0.355 0.001 0.130
Br10 0.354 0.355 0.870
Br11 0.646 0.001 0.370
Br12 0.001 0.355 0.630
Ge1 0.667 0.333 0.750
Ge2 0.333 0.667 0.250
Cd1 0.333 0.667 0.750
Cd2 0.667 0.333 0.250
Pb1 0.000 0.000 0.500
Pb2 0.000 0.000 0.000

Calculated values
V = 33.079 Å³ per atom
space-group type = P-31c
ΔE_f (raw) = -748 meV/atom

Record 2
RbCdGeBr5: optimized geometry, PBE-GGA.

Unit cell a=8.020 b=8.020 c=10.474 alpha=103.58 beta=103.58 gamma=106.29
Fractional positions:
Ge1 0.000 0.000 0.000
Ge2 0.000 0.000 0.500
Cd1 0.686 0.314 0.250
Cd2 0.314 0.686 0.750
Br1 0.631 0.754 0.941
Br2 0.754 0.631 0.441
Br3 0.316 0.906 0.598
Br4 0.369 0.246 0.059
Br5 0.932 0.068 0.750
Br6 0.094 0.684 0.902
Br7 0.246 0.369 0.559
Br8 0.906 0.316 0.098
Br9 0.068 0.932 0.250
Br10 0.684 0.094 0.402
Rb1 0.338 0.662 0.250
Rb2 0.662 0.338 0.750

Calculated values
V = 37.186 Å³ per atom
space-group type = C2/c
ΔE_f (raw) = -967 meV/atom

Q: The highest ΔE_f (raw) belongs to which entry?
A: CdGePbBr6

Q: ΔE_f (raw) of number 1 (CdGePbBr6)?
A: -748 meV/atom

Q: The highest ΔE_f (raw) belongs to which entry?
A: CdGePbBr6